No. 1
A plane-wave DFT calculation with PBE was carried out for TeIrSe2 after structural relaxation.

It has space group I-4m2 (No. 119), with a = 4.959 Å, b = 4.959 Å, c = 6.331 Å, α = 90.00°, β = 90.00° and γ = 90.00°. Symmetry generates all atoms from Te at (0.000, 0.000, 0.000), Ir at (0.000, 0.500, 0.750), Se at (0.000, 0.000, 0.500) and Se at (0.000, 0.500, 0.250).

No. 2
A plane-wave DFT calculation with PBE was carried out for TeIrSe2 after structural relaxation.

It has space group P2_1/m (No. 11), with a = 6.430 Å, b = 3.789 Å, c = 9.305 Å, α = 90.00°, β = 90.23° and γ = 90.00°. Symmetry generates all atoms from Te at (0.087, 0.250, 0.406), Ir at (0.261, 0.250, 0.997), Se at (0.084, 0.750, 0.131) and Se at (0.414, 0.750, 0.855).

No. 3
A plane-wave DFT calculation with PBE was carried out for TeIrSe2 after structural relaxation.

It has space group Pmmm (No. 47), with a = 3.190 Å, b = 4.922 Å, c = 4.928 Å, α = 90.00°, β = 90.00° and γ = 90.00°. Symmetry generates all atoms from Te at (0.000, 0.000, 0.000), Ir at (0.500, 0.000, 0.500), Se at (0.000, 0.500, 0.500) and Se at (0.500, 0.500, 0.000).

No. 4
A plane-wave DFT calculation with PBE was carried out for TeIrSe2 after structural relaxation.

It has space group I4/mmm (No. 139), with a = 5.561 Å, b = 5.561 Å, c = 5.366 Å, α = 90.00°, β = 90.00° and γ = 90.00°. Symmetry generates all atoms from Te at (0.000, 0.000, 0.000), Ir at (0.000, 0.000, 0.500) and Se at (0.000, 0.500, 0.000).

No. 5
A plane-wave DFT calculation with PBE was carried out for TeIr2Se2 after structural relaxation.

It has space group P4/mbm (No. 127), with a = 8.116 Å, b = 8.116 Å, c = 2.989 Å, α = 90.00°, β = 90.00° and γ = 90.00°. Symmetry generates all atoms from Te at (0.000, 0.000, 0.000), Ir at (0.121, 0.379, 0.500) and Se at (0.141, 0.641, 0.000).

Its offset from the most stable computed form is 0.4563 eV/atom.

No. 6
A plane-wave DFT calculation with PBE was carried out for Th6TeIr2Se3 after structural relaxation.

It has space group C2/m (No. 12), with a = 18.700 Å, b = 4.163 Å, c = 8.835 Å, α = 90.00°, β = 102.95° and γ = 90.00°. Symmetry generates all atoms from Th at (0.010, 0.000, 0.270), Th at (0.173, 0.500, 0.559), Th at (0.175, 0.500, 0.111), Te at (0.000, 0.500, 0.000), Ir at (0.168, 0.000, 0.330), Se at (0.000, 0.500, 0.500) and Se at (0.158, 0.000, 0.830).

It is found that the formation energy (no corrections) values, taken in the order of the records, are 0.639, -0.146, 0.641, 0.288, 0.641, -1.290 eV/atom.
It is found that the E_tot values, taken in the order of the records, are -16.4, -19.6, -16.4, -17.8, -24.6, -91.3 eV/f.u..